Here is an optimized crystal structure of Pu2PbCl from Alexandria via LeMat-Bulk. Energies are from PBE-GGA.

Values from the calculation:
VASP energy   -9.074 eV per atom
Formation energy from raw total energies   -0.52 eV per atom
Space-group type   No. 166
Offset from the most stable computed form   0.177 eV/f.u.

Lattice parameters (Å, degrees): 7.3496 7.3496 7.3496 34.11 34.11 34.11
Closest atoms and distances in Å follow each position.
Positions (direct):
Pu1 0.2350 0.2350 0.2350  3 Cl 2.86
Pu2 0.7650 0.7650 0.7650  3 Cl 2.86
Pb1 0.0000 0.0000 0.0000  6 Pu 3.22
Cl1 0.5000 0.5000 0.5000  6 Pu 2.86